# 1
# Sr2TcBiIr

A relaxed structure of Sr2TcBiIr (PBE-GGA, Alexandria).

a b c (Å): 6.1944 5.0769 6.1944
angles (deg): 90.00 90.00 90.00
Fractional positions:
Sr (0.0000, 0.0000, 0.5000)
Sr (0.5000, 0.0000, 0.0000)
Ir (0.5000, 0.5000, 0.5000)
Bi (0.0000, 0.0000, 0.0000)
Tc (0.0000, 0.5000, 0.0000)

Summary:
Final energy, eV per atom: -4.03

=====

# 2
# NiSbP2

A relaxed structure of NiSbP2 (PBE-GGA, Alexandria).

a b c (Å): 4.1069 4.0378 4.4844
angles (deg): 82.34 90.00 90.00
Fractional positions:
Ni (0.5000, 0.7454, 0.8641)
P (0.0000, 0.9950, 0.9632)
P (0.5000, 0.2278, 0.1064)
Sb (0.0000, 0.5317, 0.5663)

Summary:
Energy relative to the elements, uncorrected, eV/f.u.: 0.47

=====

# 3
# YEr3

A relaxed structure of YEr3 (PBE-GGA, Alexandria).

a b c (Å): 4.9838 4.9838 4.9838
angles (deg): 90.00 90.00 90.00
Fractional positions:
Y (0.0000, 0.0000, 0.0000)
Er (0.0000, 0.5000, 0.5000)
Er (0.5000, 0.0000, 0.5000)
Er (0.5000, 0.5000, 0.0000)

Summary:
Final energy, eV per atom: -5.01

=====

# 4
# CsPuSiSe4

A relaxed structure of CsPuSiSe4 (PBE-GGA, Alexandria).

a b c (Å): 6.7523 7.0212 9.8981
angles (deg): 90.00 108.88 90.00
Fractional positions:
Cs (0.7417, 0.7500, 0.9385)
Cs (0.2583, 0.2500, 0.0615)
Pu (0.7690, 0.7500, 0.4508)
Pu (0.2310, 0.2500, 0.5492)
Si (0.2120, 0.7500, 0.3351)
Si (0.7880, 0.2500, 0.6649)
Se (0.0126, 0.5053, 0.7014)
Se (0.9874, 0.0053, 0.2986)
Se (0.9874, 0.4947, 0.2986)
Se (0.0126, 0.9947, 0.7014)
Se (0.4043, 0.7500, 0.1841)
Se (0.5957, 0.2500, 0.8159)
Se (0.4187, 0.7500, 0.5681)
Se (0.5813, 0.2500, 0.4319)

Summary:
Energy relative to the elements, uncorrected, eV/f.u.: -7.50

=====

# 5
# CrIn2Rh

A relaxed structure of CrIn2Rh (PBE-GGA, Alexandria).

a b c (Å): 3.0882 3.0882 7.8747
angles (deg): 90.00 90.00 90.00
Fractional positions:
Cr (0.5000, 0.5000, 0.7109)
In (0.0000, 0.0000, 0.9596)
In (0.5000, 0.5000, 0.2960)
Rh (0.0000, 0.0000, 0.5335)

Summary:
Final energy, eV per atom: -5.53

=====

# 6
# HgOs3O

A relaxed structure of HgOs3O (PBE-GGA, Alexandria).

a b c (Å): 5.0413 5.0413 5.0413
angles (deg): 90.00 90.00 90.00
Fractional positions:
Os (0.0000, 0.5000, 0.0000)
Os (0.0000, 0.0000, 0.5000)
Os (0.5000, 0.0000, 0.0000)
Hg (0.0000, 0.0000, 0.0000)
O (0.5000, 0.5000, 0.5000)

Summary:
Energy relative to the elements, uncorrected, eV/f.u.: 18.74